DFT (PBE-GGA) results for an optimized crystal structure of KBi2Pt.

**Symmetry**: No. 123
**Energy above the lowest structure with this stoichiometry**: 232.6 meV/atom
**Crystal system**: tetragonal

abc: 3.620 3.620 9.063
angles: 90.00 90.00 90.00
Element x y z (fractional)
K 0.000 0.000 0.000
Bi 0.500 0.500 0.323
Bi 0.500 0.500 0.677
Pt 0.000 0.000 0.500